(1)
Entry from the Alexandria database: a relaxed structure of TlIrCl2 (PBE).

Its density is 7.72 Mg/m³. Its relative energy among the computed polymorphs is 286 meV/atom. The space group is No. 65.

Cell lengths 3.639, 3.639, 9.088 Å; angles 90.00, 90.00, 123.34 degrees
Sites, in units of the cell vectors:
Tl: 0.500 0.500 0.750
Ir: 0.500 0.500 0.250
Cl: 0.000 0.000 0.076
Cl: 0.000 0.000 0.424

(2)
Entry from the Alexandria database: a relaxed structure of TlIrCl2 (PBE).

Its density is 6.80 Mg/m³. Its relative energy among the computed polymorphs is 439 meV/atom. The space group is No. 25.

Cell lengths 3.222, 4.463, 7.936 Å; angles 90.00, 90.00, 90.00 degrees
Sites, in units of the cell vectors:
Tl: 0.500 0.500 0.607
Ir: 0.000 0.000 0.665
Cl: 0.000 0.000 0.942
Cl: 0.500 0.500 0.286

(3)
Entry from the Alexandria database: a relaxed structure of TlIrCl4 (PBE).

Its density is 5.94 Mg/m³. Its relative energy among the computed polymorphs is 1593 meV/atom. The space group is No. 216.

Cell lengths 5.972, 5.972, 5.972 Å; angles 60.00, 60.00, 60.00 degrees
Sites, in units of the cell vectors:
Tl: 0.000 0.000 0.000
Ir: 0.750 0.750 0.750
Cl: 0.871 0.376 0.376
Cl: 0.376 0.376 0.871
Cl: 0.376 0.871 0.376
Cl: 0.376 0.376 0.376

(4)
Entry from the Alexandria database: a relaxed structure of TlIrCl6 (PBE).

Its density is 4.22 Mg/m³. Its relative energy among the computed polymorphs is 69 meV/atom. The space group is No. 166.

Cell lengths 6.717, 6.717, 7.254 Å; angles 62.42, 62.42, 60.00 degrees
Sites, in units of the cell vectors:
Tl: 0.500 0.500 0.500
Ir: 0.000 0.000 0.000
Cl: 0.911 0.911 0.781
Cl: 0.397 0.911 0.781
Cl: 0.089 0.603 0.219
Cl: 0.603 0.089 0.219
Cl: 0.089 0.089 0.219
Cl: 0.911 0.397 0.781

Question: What is the density in the second record?
Answer: 6.80 Mg/m³

Question: Which of these has the lowest density?
Answer: TlIrCl6

Question: What is the density in the first record?
Answer: 7.72 Mg/m³